A relaxed structure of CsRbV2Ge. Source: Alexandria, functional GGA-PBE.

Cell: 5.785 5.785 6.129 Å, 90.00 90.00 90.00°
Fractional coordinates of all 5 atoms:
Cs 0.000 0.000 0.000
Rb 0.500 0.500 0.500
V 0.000 0.500 0.000
V 0.500 0.000 0.000
Ge 0.000 0.000 0.500

## Properties
Raw total energy = -2.9454 eV/atom
ρ = 3180 kg/m3
M_tot = 1.63 μB/atom
Fermi-level density of states = 4.77 states/eV/cell